Record 1
Compound: Ba2TlSn
Source: Alexandria via LeMat-Bulk
Functional: PBE
Structure: optimized geometry

Lattice parameters (Å, degrees): 5.8254 5.8254 4.6106 90.00 90.00 90.00
Last column: nearest neighbours and their distance in Å.
Positions (direct):
Ba1 0.0000 0.5000 0.0000  4 Tl 3.71, 4 Sn 3.71, 4 Ba 4.12
Ba2 0.5000 0.0000 0.0000  4 Tl 3.71, 4 Sn 3.71, 4 Ba 4.12
Tl1 0.0000 0.0000 0.5000  8 Ba 3.71, 4 Sn 4.12
Sn1 0.5000 0.5000 0.5000  8 Ba 3.71, 4 Tl 4.12

Computed properties:
E_form (eV per atom): -0.48
SG: P4/mmm, No. 123
Magnetization (μB per atom): 0.000

***

Record 2
Compound: Ba2TlSn2
Source: Alexandria via LeMat-Bulk
Functional: PBE
Structure: optimized geometry

Lattice parameters (Å, degrees): 6.9910 6.9910 12.2813 114.62 114.62 43.70
Last column: nearest neighbours and their distance in Å.
Positions (direct):
Ba1 0.0008 0.0008 0.1724  3 Tl 3.62-3.99, 6 Sn 3.67-3.78
Ba2 0.1821 0.1821 0.6092  6 Sn 3.53-3.78, 2 Tl 3.86
Ba3 0.8179 0.8179 0.3908  6 Sn 3.53-3.78, 2 Tl 3.86
Ba4 0.9992 0.9992 0.8276  3 Tl 3.62-3.99, 6 Sn 3.67-3.78
Tl1 0.2980 0.2980 0.1495  4 Sn 3.11-3.19
Tl2 0.7020 0.7020 0.8505  4 Sn 3.11-3.19
Sn1 0.3530 0.3530 0.9279  3 Tl 3.11-3.14, 1 Sn 3.41
Sn2 0.4681 0.4681 0.6036  1 Sn 3.01, 1 Tl 3.19
Sn3 0.5319 0.5319 0.3964  1 Sn 3.01, 1 Tl 3.19
Sn4 0.6470 0.6470 0.0721  3 Tl 3.11-3.14, 1 Sn 3.41

Computed properties:
E_form (eV per atom): -0.54
SG: C2/m, No. 12
Magnetization (μB per atom): 0.000

***

Record 3
Compound: BaTl5Sn2
Source: Alexandria via LeMat-Bulk
Functional: PBE
Structure: optimized geometry

Lattice parameters (Å, degrees): 9.5695 9.5695 9.5695 126.09 126.09 79.75
Last column: nearest neighbours and their distance in Å.
Positions (direct):
Ba1 0.2500 0.2500 0.0000  10 Tl 3.67-3.68
Ba2 0.7500 0.7500 0.0000  10 Tl 3.67-3.68
Tl1 0.0000 0.0000 0.0000  4 Sn 3.40, 2 Ba 3.67, 8 Tl 3.80
Tl2 0.0285 0.5285 0.8229  3 Sn 3.21
Tl3 0.2056 0.0285 0.5000  3 Sn 3.21
Tl4 0.2944 0.7944 0.8229  3 Sn 3.21
Tl5 0.4715 0.2944 0.5000  3 Sn 3.21
Tl6 0.5000 0.5000 0.0000  4 Sn 3.40, 2 Ba 3.67, 8 Tl 3.80
Tl7 0.5285 0.7056 0.5000  3 Sn 3.21
Tl8 0.7056 0.2056 0.1771  3 Sn 3.21
Tl9 0.7944 0.9715 0.5000  3 Sn 3.21
Tl10 0.9715 0.4715 0.1771  3 Sn 3.21
Sn1 0.1307 0.3693 0.5000  1 Sn 3.21, 8 Tl 3.21-3.40
Sn2 0.3693 0.8693 0.2387  1 Sn 3.21, 8 Tl 3.21-3.40
Sn3 0.6307 0.1307 0.7613  1 Sn 3.21, 8 Tl 3.21-3.40
Sn4 0.8693 0.6307 0.5000  1 Sn 3.21, 8 Tl 3.21-3.40

Computed properties:
E_form (eV per atom): -0.08
SG: I4/mcm, No. 140
Magnetization (μB per atom): 0.000

***

Record 4
Compound: Ba5Tl2Sn
Source: Alexandria via LeMat-Bulk
Functional: PBE
Structure: optimized geometry

Lattice parameters (Å, degrees): 10.9655 10.9655 10.9655 131.84 131.84 70.48
Last column: nearest neighbours and their distance in Å.
Positions (direct):
Ba1 0.0000 0.0000 0.0000  4 Tl 3.56
Ba2 0.0279 0.5279 0.8522  3 Tl 3.70-3.79, 2 Sn 3.77, 1 Ba 4.10
Ba3 0.1756 0.0279 0.5000  3 Tl 3.70-3.79, 2 Sn 3.77, 1 Ba 4.10
Ba4 0.3244 0.8244 0.8522  3 Tl 3.70-3.79, 2 Sn 3.77, 1 Ba 4.10
Ba5 0.4721 0.3244 0.5000  3 Tl 3.70-3.79, 2 Sn 3.77, 1 Ba 4.10
Ba6 0.5000 0.5000 0.0000  4 Tl 3.56
Ba7 0.5279 0.6756 0.5000  3 Tl 3.70-3.79, 2 Sn 3.77, 1 Ba 4.10
Ba8 0.6756 0.1756 0.1478  3 Tl 3.70-3.79, 2 Sn 3.77, 1 Ba 4.10
Ba9 0.8244 0.9721 0.5000  3 Tl 3.70-3.79, 2 Sn 3.77, 1 Ba 4.10
Ba10 0.9721 0.4721 0.1478  3 Tl 3.70-3.79, 2 Sn 3.77, 1 Ba 4.10
Tl1 0.1205 0.3795 0.5000  1 Tl 3.05
Tl2 0.3795 0.8795 0.2589  1 Tl 3.05
Tl3 0.6205 0.1205 0.7411  1 Tl 3.05
Tl4 0.8795 0.6205 0.5000  1 Tl 3.05
Sn1 0.2500 0.2500 0.0000  8 Ba 3.77
Sn2 0.7500 0.7500 0.0000  8 Ba 3.77

Computed properties:
E_form (eV per atom): -0.40
SG: I4/mcm, No. 140
Magnetization (μB per atom): 0.001

***

Record 5
Compound: BaTl2Sn
Source: Alexandria via LeMat-Bulk
Functional: PBE
Structure: optimized geometry

Lattice parameters (Å, degrees): 8.0891 8.0891 8.0891 90.00 90.00 90.00
Last column: nearest neighbours and their distance in Å.
Positions (direct):
Ba1 0.0000 0.0000 0.0000  8 Tl 3.50
Ba2 0.0000 0.5000 0.5000  8 Tl 3.50
Ba3 0.5000 0.0000 0.5000  8 Tl 3.50
Ba4 0.5000 0.5000 0.0000  8 Tl 3.50
Tl1 0.2500 0.2500 0.2500  4 Ba 3.50, 4 Sn 3.50
Tl2 0.2500 0.2500 0.7500  4 Ba 3.50, 4 Sn 3.50
Tl3 0.2500 0.7500 0.2500  4 Ba 3.50, 4 Sn 3.50
Tl4 0.2500 0.7500 0.7500  4 Ba 3.50, 4 Sn 3.50
Tl5 0.7500 0.2500 0.2500  4 Ba 3.50, 4 Sn 3.50
Tl6 0.7500 0.2500 0.7500  4 Ba 3.50, 4 Sn 3.50
Tl7 0.7500 0.7500 0.2500  4 Ba 3.50, 4 Sn 3.50
Tl8 0.7500 0.7500 0.7500  4 Ba 3.50, 4 Sn 3.50
Sn1 0.0000 0.0000 0.5000  8 Tl 3.50
Sn2 0.0000 0.5000 0.0000  8 Tl 3.50
Sn3 0.5000 0.0000 0.0000  8 Tl 3.50
Sn4 0.5000 0.5000 0.5000  8 Tl 3.50

Computed properties:
E_form (eV per atom): -0.31
SG: Fm-3m, No. 225
Magnetization (μB per atom): 0.000

***

Record 6
Compound: BaTlSn2
Source: Alexandria via LeMat-Bulk
Functional: PBE
Structure: optimized geometry

Lattice parameters (Å, degrees): 8.4895 7.0394 9.1909 90.00 90.00 90.00
Last column: nearest neighbours and their distance in Å.
Positions (direct):
Ba1 0.0055 0.2500 0.1715  3 Tl 3.60-3.82, 8 Sn 3.64-3.83
Ba2 0.4945 0.7500 0.6715  3 Tl 3.60-3.82, 8 Sn 3.64-3.83
Ba3 0.5055 0.2500 0.3285  3 Tl 3.60-3.82, 8 Sn 3.64-3.83
Ba4 0.9945 0.7500 0.8285  3 Tl 3.60-3.82, 8 Sn 3.64-3.83
Tl1 0.0477 0.7500 0.2413  6 Sn 3.32-3.54, 2 Ba 3.60
Tl2 0.4523 0.2500 0.7413  6 Sn 3.32-3.54, 2 Ba 3.60
Tl3 0.5477 0.7500 0.2587  6 Sn 3.32-3.54, 2 Ba 3.60
Tl4 0.9523 0.2500 0.7587  6 Sn 3.32-3.54, 2 Ba 3.60
Sn1 0.1719 0.0301 0.5113  2 Sn 2.96-3.10
Sn2 0.1719 0.4699 0.5113  2 Sn 2.96-3.10
Sn3 0.3281 0.5301 0.0113  2 Sn 2.96-3.10
Sn4 0.3281 0.9699 0.0113  2 Sn 2.96-3.10
Sn5 0.6719 0.0301 0.9887  2 Sn 2.96-3.10
Sn6 0.6719 0.4699 0.9887  2 Sn 2.96-3.10
Sn7 0.8281 0.5301 0.4887  2 Sn 2.96-3.10
Sn8 0.8281 0.9699 0.4887  2 Sn 2.96-3.10

Computed properties:
E_form (eV per atom): -0.37
SG: Pnma, No. 62
Magnetization (μB per atom): 0.000

***

Record 7
Compound: BaTl2Sn
Source: Alexandria via LeMat-Bulk
Functional: PBE
Structure: optimized geometry

Lattice parameters (Å, degrees): 5.2549 5.2549 22.0756 90.00 90.00 90.00
Last column: nearest neighbours and their distance in Å.
Positions (direct):
Ba1 0.0000 0.0000 0.0000  4 Tl 3.54, 4 Sn 3.72
Ba2 0.0000 0.5000 0.2500  4 Tl 3.54, 4 Sn 3.72
Ba3 0.5000 0.0000 0.7500  4 Tl 3.54, 4 Sn 3.72
Ba4 0.5000 0.5000 0.5000  4 Tl 3.54, 4 Sn 3.72
Tl1 0.1599 0.2500 0.6250  2 Tl 3.12, 2 Sn 3.17
Tl2 0.2500 0.6599 0.8750  2 Tl 3.12, 2 Sn 3.17
Tl3 0.2500 0.8401 0.3750  2 Tl 3.12, 2 Sn 3.17
Tl4 0.3401 0.2500 0.1250  2 Tl 3.12, 2 Sn 3.17
Tl5 0.6599 0.7500 0.1250  2 Tl 3.12, 2 Sn 3.17
Tl6 0.7500 0.1599 0.3750  2 Tl 3.12, 2 Sn 3.17
Tl7 0.7500 0.3401 0.8750  2 Tl 3.12, 2 Sn 3.17
Tl8 0.8401 0.7500 0.6250  2 Tl 3.12, 2 Sn 3.17
Sn1 0.0000 0.0000 0.5000  4 Tl 3.17
Sn2 0.0000 0.5000 0.7500  4 Tl 3.17
Sn3 0.5000 0.0000 0.2500  4 Tl 3.17
Sn4 0.5000 0.5000 0.0000  4 Tl 3.17

Computed properties:
E_form (eV per atom): -0.17
SG: I-42d, No. 122
Magnetization (μB per atom): 0.000

***

Record 8
Compound: BaTl3Sn
Source: Alexandria via LeMat-Bulk
Functional: PBE
Structure: optimized geometry

Lattice parameters (Å, degrees): 6.9885 7.0815 7.0675 90.00 90.00 90.00
Last column: nearest neighbours and their distance in Å.
Positions (direct):
Ba1 0.0000 0.2402 0.0000  5 Tl 3.51-3.92, 3 Sn 3.54-3.83
Ba2 0.5000 0.7598 0.5000  5 Tl 3.51-3.92, 3 Sn 3.54-3.83
Tl1 0.0000 0.8982 0.6410  1 Sn 2.96, 4 Tl 3.24-3.26
Tl2 0.2488 0.7437 0.9985  2 Sn 3.18, 4 Tl 3.24-3.51
Tl3 0.2512 0.2563 0.4985  2 Sn 3.18, 4 Tl 3.24-3.51
Tl4 0.5000 0.1018 0.1410  1 Sn 2.96, 4 Tl 3.24-3.26
Tl5 0.7488 0.2563 0.4985  2 Sn 3.18, 4 Tl 3.24-3.51
Tl6 0.7512 0.7437 0.9985  2 Sn 3.18, 4 Tl 3.24-3.51
Sn1 0.0000 0.5999 0.3475  5 Tl 2.96-3.18
Sn2 0.5000 0.4001 0.8475  5 Tl 2.96-3.18

Computed properties:
E_form (eV per atom): -0.24
SG: Pmn2_1, No. 31
Magnetization (μB per atom): 0.000